(1)
AcLa8Er4 (PBE, relaxed); volume = 39.68 Å³ per atom
1.0
10.0964 -0.0008 -5.4472
-6.5172 9.4411 -0.0005
-2.5163 -1.7366 7.4167
Er La Ac
4 8 1
direct
0.0000 0.5000 0.0000 Er
0.5000 0.5000 0.0000 Er
0.0000 0.0000 0.0000 Er
0.5000 0.0000 0.0000 Er
0.4678 0.2339 0.7017 La
0.9864 0.7551 0.2176 La
0.4624 0.2312 0.2176 La
0.9864 0.2312 0.2176 La
0.0136 0.7688 0.7824 La
0.5322 0.7661 0.2983 La
0.0136 0.2449 0.7824 La
0.5376 0.7688 0.7824 La
0.0000 0.5000 0.5000 Ac


(2)
Ac4La11Er9 (PBE, relaxed); volume = 36.20 Å³ per atom
1.0
3.7361 0.0000 0.0000
0.0000 14.6236 -6.4347
0.0000 -0.1701 15.9758
Er Ac La
9 4 11
direct
0.5000 0.8246 0.3865 Er
0.5000 0.5000 0.5000 Er
0.5000 0.9917 0.8008 Er
0.5000 0.1992 0.0083 Er
0.5000 0.0083 0.1992 Er
0.5000 0.3865 0.8246 Er
0.5000 0.1754 0.6135 Er
0.5000 0.6135 0.1754 Er
0.5000 0.8008 0.9917 Er
0.5000 0.4131 0.2429 Ac
0.5000 0.5869 0.7571 Ac
0.5000 0.2429 0.4131 Ac
0.5000 0.7571 0.5869 Ac
0.0000 0.3772 0.6228 La
0.0000 0.8109 0.1891 La
0.0000 0.0000 0.0000 La
0.0000 0.9692 0.5955 La
0.0000 0.7996 0.7996 La
0.0000 0.5955 0.9692 La
0.0000 0.2004 0.2004 La
0.0000 0.1891 0.8109 La
0.0000 0.4045 0.0308 La
0.0000 0.6228 0.3772 La
0.0000 0.0308 0.4045 La


(3)
Ac4La3Er2 (PBE, relaxed); volume = 38.91 Å³ per atom
1.0
5.4083 -0.0032 0.0013
2.7007 5.7408 1.6012
0.0002 0.4158 11.3926
La Ac Er
3 4 2
direct
0.0000 0.0000 0.0000 La
0.3318 0.3364 0.4462 La
0.6682 0.6636 0.5538 La
0.0007 0.9982 0.3313 Ac
0.3331 0.3336 0.1110 Ac
0.6669 0.6664 0.8890 Ac
0.9993 0.0018 0.6687 Ac
0.3307 0.3383 0.7746 Er
0.6693 0.6617 0.2254 Er


(4)
Ac2La3Er2 (PBE, relaxed); volume = 38.13 Å³ per atom
1.0
3.5997 -0.1426 0.9097
0.2562 10.2120 0.6812
1.9478 -0.1313 7.7433
La Ac Er
3 2 2
direct
0.0000 0.0000 0.0000 La
0.2803 0.4982 0.7253 La
0.7197 0.5018 0.2747 La
0.9851 0.1890 0.5248 Ac
0.0149 0.8110 0.4752 Ac
0.4793 0.2862 0.0191 Er
0.5207 0.7138 0.9809 Er


(5)
AcLa2Er2 (PBE, relaxed); volume = 37.10 Å³ per atom
1.0
-0.7051 -3.2668 -1.6913
1.9545 -2.1632 7.5109
-12.1407 0.8569 3.4061
Er La Ac
4 4 2
direct
0.3037 0.6074 0.0884 Er
0.6963 0.3926 0.5884 Er
0.0665 0.1330 0.4437 Er
0.9335 0.8670 0.9437 Er
0.2968 0.5936 0.7909 La
0.7032 0.4064 0.2909 La
0.0147 0.0293 0.7005 La
0.9853 0.9707 0.2005 La
0.6266 0.2532 0.9618 Ac
0.3734 0.7468 0.4618 Ac


(6)
AcLa7Er12 (PBE, relaxed); volume = 36.81 Å³ per atom
1.0
-5.6881 5.6881 5.6881
5.6881 -5.6881 5.6881
5.6881 5.6881 -5.6881
Er La Ac
12 7 1
direct
0.2524 0.9998 0.7474 Er
0.7476 0.0002 0.2526 Er
0.2526 0.2524 0.5050 Er
0.9998 0.7474 0.2524 Er
0.7474 0.7476 0.4950 Er
0.7474 0.2524 0.9998 Er
0.2526 0.7476 0.0002 Er
0.4950 0.7474 0.7476 Er
0.0002 0.2526 0.7476 Er
0.7476 0.4950 0.7474 Er
0.5050 0.2526 0.2524 Er
0.2524 0.5050 0.2526 Er
0.0000 0.5000 0.5000 La
0.0000 0.5000 0.0000 La
0.5000 0.0000 0.0000 La
0.5000 0.5000 0.5000 La
0.5000 0.0000 0.5000 La
0.5000 0.5000 0.0000 La
0.0000 0.0000 0.5000 La
0.0000 0.0000 0.0000 Ac


(7)
Ac2LaEr2 (PBE, relaxed); volume = 37.16 Å³ per atom
1.0
-0.8551 -1.0357 -6.4016
12.5689 4.7464 0.8540
-6.6117 -6.7593 3.0957
Er Ac La
4 4 2
direct
0.6046 0.3547 0.5640 Er
0.7983 0.5488 0.1470 Er
0.3954 0.6453 0.4360 Er
0.2017 0.4512 0.8530 Er
0.8007 0.0507 0.6509 Ac
0.4042 0.1535 0.9608 Ac
0.1993 0.9493 0.3491 Ac
0.5958 0.8465 0.0392 Ac
0.0023 0.2519 0.2559 La
0.9977 0.7481 0.7441 La


(8)
Ac3La7Er2 (PBE, relaxed); volume = 38.40 Å³ per atom
1.0
-6.8650 0.9604 -1.8851
-3.5199 -5.1856 -3.5106
-6.4952 -5.4384 7.1957
La Ac Er
7 3 2
direct
0.3918 0.9466 0.2698 La
0.0534 0.6082 0.7302 La
0.6082 0.6082 0.7302 La
0.5000 0.5000 0.5000 La
0.3918 0.3918 0.2698 La
0.6082 0.0534 0.7302 La
0.9466 0.3918 0.2698 La
0.8674 0.8674 0.3977 Ac
0.0000 0.0000 0.0000 Ac
0.1326 0.1326 0.6023 Ac
0.3394 0.3394 0.9819 Er
0.6606 0.6606 0.0181 Er


Sequential E_tot output: -4.318 -4.576 -4.439 -4.443 -4.492 -4.067 -4.401 -4.477 eV/atom
Sequential energy relative to the elements output: 0.43 0.08 0.04 0.15 0.13 0.60 0.05 0.19 eV/atom